(1)
Here is a relaxed structure of K2Rb7Au2 from Alexandria. Energies are from PBE.

## Properties
The density comes out at 2.38 Mg/m³. The value obtained for the energy relative to the elements is -69.0 meV per atom. As for the spin magnetization: 0.0 μB/f.u.

Geometry as CIF:
```
data_K2Rb7Au2
_cell_length_a 8.257
_cell_length_b 11.898
_cell_length_c 15.602
_cell_angle_alpha 90.00
_cell_angle_beta 102.81
_cell_angle_gamma 90.00
_space_group_name_H-M_alt 'C 1 2/m 1'
_space_group_IT_number 12
loop_
_space_group_symop_operation_xyz
'x,y,z'
'-x,-y,-z'
'-x,y,-z'
'x,-y,z'
'x+1/2,y+1/2,z'
'-x+1/2,-y+1/2,-z'
'-x+1/2,y+1/2,-z'
'x+1/2,-y+1/2,z'
loop_
_atom_site_label
_atom_site_type_symbol
_atom_site_fract_x
_atom_site_fract_y
_atom_site_fract_z
_atom_site_occupancy
K1 K 0.067 0.000 0.141 1
Rb1 Rb 0.000 0.500 0.000 1
Rb2 Rb 0.170 0.314 0.310 1
Rb3 Rb 0.228 0.000 0.447 1
Au1 Au 0.000 0.250 0.500 1
```

(2)
Here is a relaxed structure of KRb8Au5 from Alexandria. Energies are from PBE.

## Properties
The density comes out at 3.65 Mg/m³. The value obtained for the energy relative to the elements is -194.1 meV per atom. As for the spin magnetization: 0.0 μB/f.u.

Geometry as CIF:
```
data_KRb8Au5
_cell_length_a 25.692
_cell_length_b 4.926
_cell_length_c 12.605
_cell_angle_alpha 90.00
_cell_angle_beta 103.22
_cell_angle_gamma 90.00
_space_group_name_H-M_alt 'C 1 m 1'
_space_group_IT_number 8
loop_
_space_group_symop_operation_xyz
'x,y,z'
'x,-y,z'
'x+1/2,y+1/2,z'
'x+1/2,-y+1/2,z'
loop_
_atom_site_label
_atom_site_type_symbol
_atom_site_fract_x
_atom_site_fract_y
_atom_site_fract_z
_atom_site_occupancy
K1 K 0.000 0.000 0.000 1
Rb1 Rb 0.076 0.000 0.661 1
Rb2 Rb 0.088 0.500 0.328 1
Rb3 Rb 0.169 0.500 0.994 1
Rb4 Rb 0.236 0.500 0.656 1
Rb5 Rb 0.263 0.000 0.345 1
Rb6 Rb 0.331 0.000 0.008 1
Rb7 Rb 0.411 0.000 0.673 1
Rb8 Rb 0.424 0.500 0.341 1
Au1 Au 0.000 0.500 0.501 1
Au2 Au 0.162 0.000 0.487 1
Au3 Au 0.206 0.000 0.830 1
Au4 Au 0.295 0.500 0.172 1
Au5 Au 0.337 0.500 0.514 1
```

(3)
Here is a relaxed structure of K9Rb6Au from Alexandria. Energies are from PBE.

## Properties
The density comes out at 1.49 Mg/m³. The value obtained for the energy relative to the elements is -35.0 meV per atom. As for the spin magnetization: 0.0 μB/f.u.

Geometry as CIF:
```
data_K9Rb6Au
_cell_length_a 10.749
_cell_length_b 10.749
_cell_length_c 20.499
_cell_angle_alpha 90.00
_cell_angle_beta 90.00
_cell_angle_gamma 90.00
_space_group_name_H-M_alt 'I 4/m'
_space_group_IT_number 87
_space_group_name_Hall '-I 4'
loop_
_atom_site_label
_atom_site_type_symbol
_atom_site_fract_x
_atom_site_fract_y
_atom_site_fract_z
_atom_site_occupancy
K1 K 0.000 0.000 0.000 1
K2 K 0.094 0.701 0.170 1
Rb1 Rb 0.000 0.000 0.332 1
Rb2 Rb 0.108 0.698 0.500 1
Au1 Au 0.000 0.000 0.500 1
```

- The highest density belongs to which entry?
  KRb8Au5

- The highest density belongs to which entry?
  KRb8Au5

- density of number 2 (KRb8Au5)?
  3.65 Mg/m³